A geometry-optimized Pa3Si3Rh2 structure, computed with PBE.

```
Pa3Si3Rh2
1.0
2.1001 -5.1513 0.0000
2.1001 5.1513 0.0000
0.0000 0.0000 14.0931
Pa Si Rh
6 6 4
Direct
0.0833 0.9167 0.6148 Pa
0.0833 0.9167 0.8852 Pa
0.3660 0.6340 0.7500 Pa
0.6340 0.3660 0.2500 Pa
0.9167 0.0833 0.1148 Pa
0.9167 0.0833 0.3852 Pa
0.3468 0.6532 0.2500 Si
0.3915 0.6085 0.5388 Si
0.3915 0.6085 0.9612 Si
0.6085 0.3915 0.0388 Si
0.6085 0.3915 0.4612 Si
0.6532 0.3468 0.7500 Si
0.2079 0.7921 0.1012 Rh
0.2079 0.7921 0.3988 Rh
0.7921 0.2079 0.6012 Rh
0.7921 0.2079 0.8988 Rh
```

## Properties
N(E_F): 1.12 states/eV per atom
Excess energy over the best structure of this formula in the dataset: 0 meV per atom

***

A geometry-optimized AlFe2Hg structure, computed with PBE.

```
AlFe2Hg
1.0
3.8495 0.0000 0.0000
0.0000 3.8495 0.0000
0.0000 0.0000 7.9537
Al Fe Hg
2 4 2
Direct
0.0000 0.0000 0.0000 Al
0.5000 0.5000 0.5000 Al
0.0000 0.0000 0.5000 Fe
0.0000 0.5000 0.7500 Fe
0.5000 0.0000 0.2500 Fe
0.5000 0.5000 0.0000 Fe
0.0000 0.5000 0.2500 Hg
0.5000 0.0000 0.7500 Hg
```

## Properties
N(E_F): 0.87 states/eV per atom
Calculated formation energy: 0.20 eV per atom

***

A geometry-optimized La6CeHoTm2 structure, computed with PBE.

```
La6CeHoTm2
1.0
6.0278 -3.4549 0.0000
6.0278 3.4549 0.0000
-3.2006 0.0000 8.4770
La Ce Ho Tm
6 1 1 2
Direct
0.0968 0.6143 0.6948 La
0.1673 0.1673 0.9233 La
0.3857 0.9032 0.3052 La
0.6143 0.0968 0.6948 La
0.8327 0.8327 0.0767 La
0.9032 0.3857 0.3052 La
0.0000 0.0000 0.5000 Ce
0.5000 0.5000 0.0000 Ho
0.3994 0.3994 0.3204 Tm
0.6006 0.6006 0.6796 Tm
```

## Properties
N(E_F): 2.19 states/eV per atom
Calculated formation energy: 0.22 eV per atom